No. 1
# ScAgOF2 PBE optimized geometry
# ΔE_f (raw) ... -1.10 eV per atom
# Energy ... -23.41 eV for the cell shown
# N(E_F) ... 3.26 states/eV per cell
# ρ ... 4443 kg/m³
# Crystal system ... tetragonal
# Excess energy over the best structure of this formula in the dataset ... 1.428 eV per atom
# V ... 77.3 Å³/cell
data_ScAgOF2
_space_group_name_H-M_alt 'P 4/m m m'
_space_group_IT_number 123
_space_group_name_Hall '-P 4 2'
_cell_length_a 4.319
_cell_length_b 4.319
_cell_length_c 4.144
_cell_angle_alpha 90.00
_cell_angle_beta 90.00
_cell_angle_gamma 90.00
loop_
_atom_site_label
_atom_site_type_symbol
_atom_site_fract_x
_atom_site_fract_y
_atom_site_fract_z
Sc1 Sc 0.000 0.000 0.000
Ag1 Ag 0.500 0.500 0.500
O1 O 0.500 0.500 0.000
F1 F 0.000 0.500 0.500


No. 2
# ScAgO2F PBE optimized geometry
# ΔE_f (raw) ... -0.89 eV per atom
# Energy ... -25.42 eV for the cell shown
# N(E_F) ... 1.90 states/eV per cell
# ρ ... 4825 kg/m³
# Crystal system ... tetragonal
# V ... 70.1 Å³/cell
data_ScAgO2F
_space_group_name_H-M_alt 'P 4/m m m'
_space_group_IT_number 123
_space_group_name_Hall '-P 4 2'
_cell_length_a 4.099
_cell_length_b 4.099
_cell_length_c 4.175
_cell_angle_alpha 90.00
_cell_angle_beta 90.00
_cell_angle_gamma 90.00
loop_
_atom_site_label
_atom_site_type_symbol
_atom_site_fract_x
_atom_site_fract_y
_atom_site_fract_z
Sc1 Sc 0.000 0.000 0.000
Ag1 Ag 0.500 0.500 0.500
O1 O 0.000 0.500 0.500
F1 F 0.500 0.500 0.000


No. 3
# Ag5SeO4F2 PBE optimized geometry
# ΔE_f (raw) ... -0.50 eV per atom
# Energy ... -94.70 eV for the cell shown
# N(E_F) ... 2.89 states/eV per cell
# ρ ... 6021 kg/m³
# Crystal system ... orthorhombic
# V ... 397.3 Å³/cell
data_Ag5SeO4F2
_space_group_name_H-M_alt 'A m m 2'
_space_group_IT_number 38
_cell_length_a 6.793
_cell_length_b 10.674
_cell_length_c 5.479
_cell_angle_alpha 90.00
_cell_angle_beta 90.00
_cell_angle_gamma 90.00
loop_
_space_group_symop_operation_xyz
'x,y,z'
'-x,-y,z'
'-x,y,z'
'x,-y,z'
'x,y+1/2,z+1/2'
'-x,-y+1/2,z+1/2'
'-x,y+1/2,z+1/2'
'x,-y+1/2,z+1/2'
loop_
_atom_site_label
_atom_site_type_symbol
_atom_site_fract_x
_atom_site_fract_y
_atom_site_fract_z
Ag1 Ag 0.000 0.000 0.000
Ag2 Ag 0.274 0.193 0.463
Se1 Se 0.500 0.000 0.035
O1 O 0.296 0.000 0.228
O2 O 0.500 0.136 0.860
F1 F 0.000 0.174 0.726


No. 4
# SiAgOF2 PBE optimized geometry
# ΔE_f (raw) ... -1.44 eV per atom
# Energy ... -24.17 eV for the cell shown
# N(E_F) ... 0.87 states/eV per cell
# ρ ... 5081 kg/m³
# Crystal system ... tetragonal
# Excess energy over the best structure of this formula in the dataset ... 0.000 eV per atom
# V ... 62.1 Å³/cell
data_SiAgOF2
_space_group_name_H-M_alt 'P 4/m m m'
_space_group_IT_number 123
_space_group_name_Hall '-P 4 2'
_cell_length_a 4.240
_cell_length_b 4.240
_cell_length_c 3.453
_cell_angle_alpha 90.00
_cell_angle_beta 90.00
_cell_angle_gamma 90.00
loop_
_atom_site_label
_atom_site_type_symbol
_atom_site_fract_x
_atom_site_fract_y
_atom_site_fract_z
Si1 Si 0.000 0.000 0.000
Ag1 Ag 0.500 0.500 0.500
O1 O 0.000 0.000 0.500
F1 F 0.000 0.500 0.000


No. 5
# SiAgO2F PBE optimized geometry
# ΔE_f (raw) ... 0.06 eV per atom
# Energy ... -19.76 eV for the cell shown
# N(E_F) ... 2.46 states/eV per cell
# ρ ... 4483 kg/m³
# Crystal system ... tetragonal
# V ... 69.2 Å³/cell
data_SiAgO2F
_space_group_name_H-M_alt 'P 4/m m m'
_space_group_IT_number 123
_space_group_name_Hall '-P 4 2'
_cell_length_a 4.102
_cell_length_b 4.102
_cell_length_c 4.116
_cell_angle_alpha 90.00
_cell_angle_beta 90.00
_cell_angle_gamma 90.00
loop_
_atom_site_label
_atom_site_type_symbol
_atom_site_fract_x
_atom_site_fract_y
_atom_site_fract_z
Si1 Si 0.000 0.000 0.000
Ag1 Ag 0.500 0.500 0.500
O1 O 0.000 0.500 0.500
F1 F 0.500 0.500 0.000


No. 6
# SiAgOF2 PBE optimized geometry
# ΔE_f (raw) ... -0.30 eV per atom
# Energy ... -18.49 eV for the cell shown
# N(E_F) ... 1.53 states/eV per cell
# ρ ... 4146 kg/m³
# Crystal system ... tetragonal
# Excess energy over the best structure of this formula in the dataset ... 1.135 eV per atom
# V ... 76.1 Å³/cell
data_SiAgOF2
_space_group_name_H-M_alt 'P 4/m m m'
_space_group_IT_number 123
_space_group_name_Hall '-P 4 2'
_cell_length_a 4.249
_cell_length_b 4.249
_cell_length_c 4.213
_cell_angle_alpha 90.00
_cell_angle_beta 90.00
_cell_angle_gamma 90.00
loop_
_atom_site_label
_atom_site_type_symbol
_atom_site_fract_x
_atom_site_fract_y
_atom_site_fract_z
Si1 Si 0.000 0.000 0.000
Ag1 Ag 0.500 0.500 0.500
O1 O 0.500 0.500 0.000
F1 F 0.000 0.500 0.500


No. 7
# SiAgO2F PBE optimized geometry
# ΔE_f (raw) ... -1.57 eV per atom
# Energy ... -27.93 eV for the cell shown
# N(E_F) ... 0.00 states/eV per cell
# ρ ... 6133 kg/m³
# Crystal system ... tetragonal
# V ... 50.6 Å³/cell
data_SiAgO2F
_space_group_name_H-M_alt 'P 4/m m m'
_space_group_IT_number 123
_space_group_name_Hall '-P 4 2'
_cell_length_a 3.512
_cell_length_b 3.512
_cell_length_c 4.104
_cell_angle_alpha 90.00
_cell_angle_beta 90.00
_cell_angle_gamma 90.00
loop_
_atom_site_label
_atom_site_type_symbol
_atom_site_fract_x
_atom_site_fract_y
_atom_site_fract_z
Si1 Si 0.000 0.000 0.000
Ag1 Ag 0.500 0.500 0.500
O1 O 0.000 0.500 0.000
F1 F 0.000 0.000 0.500


No. 8
# SrAgO2F PBE optimized geometry
# ΔE_f (raw) ... -1.43 eV per atom
# Energy ... -23.48 eV for the cell shown
# N(E_F) ... 2.50 states/eV per cell
# ρ ... 5542 kg/m³
# Crystal system ... tetragonal
# V ... 73.9 Å³/cell
data_SrAgO2F
_space_group_name_H-M_alt 'P 4/m m m'
_space_group_IT_number 123
_space_group_name_Hall '-P 4 2'
_cell_length_a 4.128
_cell_length_b 4.128
_cell_length_c 4.333
_cell_angle_alpha 90.00
_cell_angle_beta 90.00
_cell_angle_gamma 90.00
loop_
_atom_site_label
_atom_site_type_symbol
_atom_site_fract_x
_atom_site_fract_y
_atom_site_fract_z
Sr1 Sr 0.000 0.000 0.000
Ag1 Ag 0.500 0.500 0.500
O1 O 0.000 0.500 0.500
F1 F 0.500 0.500 0.000


No. 9
# SrAgO2F PBE optimized geometry
# ΔE_f (raw) ... -0.86 eV per atom
# Energy ... -20.62 eV for the cell shown
# N(E_F) ... 4.73 states/eV per cell
# ρ ... 4014 kg/m³
# Crystal system ... tetragonal
# V ... 102.0 Å³/cell
data_SrAgO2F
_space_group_name_H-M_alt 'P 4/m m m'
_space_group_IT_number 123
_space_group_name_Hall '-P 4 2'
_cell_length_a 4.681
_cell_length_b 4.681
_cell_length_c 4.653
_cell_angle_alpha 90.00
_cell_angle_beta 90.00
_cell_angle_gamma 90.00
loop_
_atom_site_label
_atom_site_type_symbol
_atom_site_fract_x
_atom_site_fract_y
_atom_site_fract_z
Sr1 Sr 0.000 0.000 0.000
Ag1 Ag 0.500 0.500 0.500
O1 O 0.000 0.500 0.000
F1 F 0.000 0.000 0.500


No. 10
# TaAgOF2 PBE optimized geometry
# ΔE_f (raw) ... 0.12 eV per atom
# Energy ... -22.82 eV for the cell shown
# N(E_F) ... 5.67 states/eV per cell
# ρ ... 7444 kg/m³
# Crystal system ... tetragonal
# Excess energy over the best structure of this formula in the dataset ... 1.782 eV per atom
# V ... 76.5 Å³/cell
data_TaAgOF2
_space_group_name_H-M_alt 'P 4/m m m'
_space_group_IT_number 123
_space_group_name_Hall '-P 4 2'
_cell_length_a 4.276
_cell_length_b 4.276
_cell_length_c 4.183
_cell_angle_alpha 90.00
_cell_angle_beta 90.00
_cell_angle_gamma 90.00
loop_
_atom_site_label
_atom_site_type_symbol
_atom_site_fract_x
_atom_site_fract_y
_atom_site_fract_z
Ta1 Ta 0.000 0.000 0.000
Ag1 Ag 0.500 0.500 0.500
O1 O 0.500 0.500 0.000
F1 F 0.000 0.500 0.500


No. 11
# TaAgOF2 PBE optimized geometry
# ΔE_f (raw) ... -1.66 eV per atom
# Energy ... -31.73 eV for the cell shown
# N(E_F) ... 2.26 states/eV per cell
# ρ ... 7823 kg/m³
# Crystal system ... tetragonal
# Excess energy over the best structure of this formula in the dataset ... 0.000 eV per atom
# V ... 72.8 Å³/cell
data_TaAgOF2
_space_group_name_H-M_alt 'P 4/m m m'
_space_group_IT_number 123
_space_group_name_Hall '-P 4 2'
_cell_length_a 4.306
_cell_length_b 4.306
_cell_length_c 3.924
_cell_angle_alpha 90.00
_cell_angle_beta 90.00
_cell_angle_gamma 90.00
loop_
_atom_site_label
_atom_site_type_symbol
_atom_site_fract_x
_atom_site_fract_y
_atom_site_fract_z
Ta1 Ta 0.000 0.000 0.000
Ag1 Ag 0.500 0.500 0.500
O1 O 0.000 0.000 0.500
F1 F 0.000 0.500 0.000


No. 12
# TcAgOF2 PBE optimized geometry
# ΔE_f (raw) ... -1.04 eV per atom
# Energy ... -27.14 eV for the cell shown
# N(E_F) ... 2.47 states/eV per cell
# ρ ... 6283 kg/m³
# Crystal system ... tetragonal
# Excess energy over the best structure of this formula in the dataset ... 0.000 eV per atom
# V ... 68.7 Å³/cell
data_TcAgOF2
_space_group_name_H-M_alt 'P 4/m m m'
_space_group_IT_number 123
_space_group_name_Hall '-P 4 2'
_cell_length_a 4.263
_cell_length_b 4.263
_cell_length_c 3.779
_cell_angle_alpha 90.00
_cell_angle_beta 90.00
_cell_angle_gamma 90.00
loop_
_atom_site_label
_atom_site_type_symbol
_atom_site_fract_x
_atom_site_fract_y
_atom_site_fract_z
Tc1 Tc 0.000 0.000 0.000
Ag1 Ag 0.500 0.500 0.500
O1 O 0.000 0.000 0.500
F1 F 0.000 0.500 0.000